{
  "formula": "Mg2ScPb",
  "functional": "PBE-GGA",
  "state": "relaxed",
  "cell": [[8.372, 0.000, 0.000], [0.000, 8.372, 0.000], [0.000, 0.000, 5.968]],
  "species": ["Mg", "Mg", "Mg", "Mg", "Mg", "Mg", "Mg", "Mg", "Sc", "Sc", "Sc", "Sc", "Pb", "Pb", "Pb", "Pb"],
  "frac_coords": [[0.230, 0.250, 0.125], [0.250, 0.730, 0.375], [0.250, 0.770, 0.875], [0.270, 0.250, 0.625], [0.730, 0.750, 0.625], [0.750, 0.230, 0.875], [0.750, 0.270, 0.375], [0.770, 0.750, 0.125], [0.000, 0.000, 0.500], [0.000, 0.500, 0.750], [0.500, 0.000, 0.250], [0.500, 0.500, 0.000], [0.000, 0.000, 0.000], [0.000, 0.500, 0.250], [0.500, 0.000, 0.750], [0.500, 0.500, 0.500]],
  "total_magnetization_mub_per_cell": 0.000,
  "sg": "I-42d (122)",
  "density_g_cm3": 4.8,
  "delta_e_f_ev_per_atom": 0.10
}